Entry 1:
# Ba2LaAs (GGA-PBE, optimized geometry)
# ΔE_f = -0.24 eV/atom
# V = 140 Å³ per cell
# Spin magnetization = 0.00 μB per cell
data_Ba2LaAs
_chemical_formula_sum 'Ba2 La1 As1'
_symmetry_space_group_name_H-M 'P 1'
_symmetry_Int_Tables_number 1
_cell_length_a 6.554
_cell_length_b 6.554
_cell_length_c 6.554
_cell_angle_alpha 134.73
_cell_angle_beta 134.73
_cell_angle_gamma 65.95
loop_
_symmetry_equiv_pos_as_xyz
'x,y,z'
loop_
_atom_site_label
_atom_site_type_symbol
_atom_site_fract_x
_atom_site_fract_y
_atom_site_fract_z
Ba1 Ba 0.000 0.000 0.000
Ba2 Ba 0.750 0.250 0.500
La1 La 0.250 0.750 0.500
As1 As 0.500 0.500 0.000

Entry 2:
# La2Nd3DyY6 (GGA-PBE, optimized geometry)
# ΔE_f = 0.01 eV/atom
# V = 403 Å³ per cell
# Spin magnetization = 0.00 μB per cell
data_La2Nd3DyY6
_chemical_formula_sum 'La2 Nd3 Dy1 Y6'
_symmetry_space_group_name_H-M 'P 1'
_symmetry_Int_Tables_number 1
_cell_length_a 6.293
_cell_length_b 6.293
_cell_length_c 11.924
_cell_angle_alpha 95.03
_cell_angle_beta 95.03
_cell_angle_gamma 120.00
loop_
_symmetry_equiv_pos_as_xyz
'x,y,z'
loop_
_atom_site_label
_atom_site_type_symbol
_atom_site_fract_x
_atom_site_fract_y
_atom_site_fract_z
La1 La 0.166 0.834 0.000
La2 La 0.834 0.166 0.000
Nd1 Nd 0.000 0.000 0.500
Nd2 Nd 0.333 0.667 0.500
Nd3 Nd 0.667 0.333 0.500
Dy1 Dy 0.500 0.500 0.000
Y1 Y 0.084 0.417 0.750
Y2 Y 0.251 0.251 0.251
Y3 Y 0.417 0.084 0.750
Y4 Y 0.583 0.916 0.250
Y5 Y 0.749 0.749 0.749
Y6 Y 0.916 0.583 0.250

Entry 3:
# Dy4Er3Th5 (GGA-PBE, optimized geometry)
# ΔE_f = 0.53 eV/atom
# V = 421 Å³ per cell
# Spin magnetization = 0.00 μB per cell
data_Dy4Er3Th5
_chemical_formula_sum 'Dy4 Er3 Th5'
_symmetry_space_group_name_H-M 'P 1'
_symmetry_Int_Tables_number 1
_cell_length_a 8.711
_cell_length_b 8.711
_cell_length_c 11.413
_cell_angle_alpha 124.08
_cell_angle_beta 124.08
_cell_angle_gamma 37.08
loop_
_symmetry_equiv_pos_as_xyz
'x,y,z'
loop_
_atom_site_label
_atom_site_type_symbol
_atom_site_fract_x
_atom_site_fract_y
_atom_site_fract_z
Dy1 Dy 0.131 0.131 0.077
Dy2 Dy 0.307 0.307 0.495
Dy3 Dy 0.693 0.693 0.505
Dy4 Dy 0.869 0.869 0.923
Er1 Er 0.232 0.232 0.744
Er2 Er 0.500 0.500 0.500
Er3 Er 0.768 0.768 0.256
Th1 Th 0.000 0.000 0.500
Th2 Th 0.042 0.042 0.275
Th3 Th 0.349 0.349 0.124
Th4 Th 0.651 0.651 0.876
Th5 Th 0.958 0.958 0.725

Entry 4:
# LaZrTl2 (GGA-PBE, optimized geometry)
# ΔE_f = 0.29 eV/atom
# V = 256 Å³ per cell
# Spin magnetization = 0.48 μB per cell
data_LaZrTl2
_chemical_formula_sum 'La2 Zr2 Tl4'
_symmetry_space_group_name_H-M 'P 1'
_symmetry_Int_Tables_number 1
_cell_length_a 10.966
_cell_length_b 10.966
_cell_length_c 10.966
_cell_angle_alpha 153.83
_cell_angle_beta 153.83
_cell_angle_gamma 37.35
loop_
_symmetry_equiv_pos_as_xyz
'x,y,z'
loop_
_atom_site_label
_atom_site_type_symbol
_atom_site_fract_x
_atom_site_fract_y
_atom_site_fract_z
La1 La 0.000 0.000 0.000
La2 La 0.750 0.250 0.500
Zr1 Zr 0.250 0.750 0.500
Zr2 Zr 0.500 0.500 0.000
Tl1 Tl 0.187 0.625 0.062
Tl2 Tl 0.375 0.437 0.562
Tl3 Tl 0.563 0.125 0.938
Tl4 Tl 0.875 0.813 0.438

Entry 5:
# Sc2GaPd (GGA-PBE, optimized geometry)
# ΔE_f = -0.76 eV/atom
# V = 148 Å³ per cell
# Spin magnetization = 0.00 μB per cell
data_Sc2GaPd
_chemical_formula_sum 'Sc4 Ga2 Pd2'
_symmetry_space_group_name_H-M 'P 1'
_symmetry_Int_Tables_number 1
_cell_length_a 4.713
_cell_length_b 3.280
_cell_length_c 9.601
_cell_angle_alpha 90.00
_cell_angle_beta 90.00
_cell_angle_gamma 90.00
loop_
_symmetry_equiv_pos_as_xyz
'x,y,z'
loop_
_atom_site_label
_atom_site_type_symbol
_atom_site_fract_x
_atom_site_fract_y
_atom_site_fract_z
Sc1 Sc 0.250 0.000 0.113
Sc2 Sc 0.250 0.000 0.616
Sc3 Sc 0.750 0.000 0.384
Sc4 Sc 0.750 0.000 0.887
Ga1 Ga 0.250 0.500 0.357
Ga2 Ga 0.750 0.500 0.643
Pd1 Pd 0.250 0.500 0.847
Pd2 Pd 0.750 0.500 0.153

Entry 6:
# La2PrHoMg (GGA-PBE, optimized geometry)
# ΔE_f = 0.02 eV/atom
# V = 330 Å³ per cell
# Spin magnetization = 0.00 μB per cell
data_La2PrHoMg
_chemical_formula_sum 'La4 Pr2 Ho2 Mg2'
_symmetry_space_group_name_H-M 'P 1'
_symmetry_Int_Tables_number 1
_cell_length_a 6.326
_cell_length_b 5.763
_cell_length_c 9.564
_cell_angle_alpha 90.00
_cell_angle_beta 108.71
_cell_angle_gamma 90.00
loop_
_symmetry_equiv_pos_as_xyz
'x,y,z'
loop_
_atom_site_label
_atom_site_type_symbol
_atom_site_fract_x
_atom_site_fract_y
_atom_site_fract_z
La1 La 0.042 0.250 0.301
La2 La 0.121 0.750 0.113
La3 La 0.879 0.250 0.887
La4 La 0.958 0.750 0.699
Pr1 Pr 0.467 0.250 0.111
Pr2 Pr 0.533 0.750 0.889
Ho1 Ho 0.344 0.750 0.503
Ho2 Ho 0.656 0.250 0.497
Mg1 Mg 0.280 0.250 0.690
Mg2 Mg 0.720 0.750 0.310

Entry 7:
# Ba2TlAg (GGA-PBE, optimized geometry)
# ΔE_f = 0.05 eV/atom
# E above lowest polymorph = 358 meV per atom
# V = 176 Å³ per cell
# Spin magnetization = 0.00 μB per cell
data_Ba2TlAg
_chemical_formula_sum 'Ba2 Tl1 Ag1'
_symmetry_space_group_name_H-M 'P 1'
_symmetry_Int_Tables_number 1
_cell_length_a 10.354
_cell_length_b 10.354
_cell_length_c 10.354
_cell_angle_alpha 156.54
_cell_angle_beta 156.54
_cell_angle_gamma 33.41
loop_
_symmetry_equiv_pos_as_xyz
'x,y,z'
loop_
_atom_site_label
_atom_site_type_symbol
_atom_site_fract_x
_atom_site_fract_y
_atom_site_fract_z
Ba1 Ba 0.159 0.159 0.000
Ba2 Ba 0.841 0.841 0.000
Tl1 Tl 0.500 0.500 0.000
Ag1 Ag 0.000 0.000 0.000

Entry 8:
# YAsPb2 (GGA-PBE, optimized geometry)
# ΔE_f = -0.17 eV/atom
# V = 232 Å³ per cell
# Spin magnetization = 0.00 μB per cell
data_YAsPb2
_chemical_formula_sum 'Y2 As2 Pb4'
_symmetry_space_group_name_H-M 'P 1'
_symmetry_Int_Tables_number 1
_cell_length_a 6.885
_cell_length_b 6.885
_cell_length_c 6.885
_cell_angle_alpha 101.17
_cell_angle_beta 101.17
_cell_angle_gamma 127.76
loop_
_symmetry_equiv_pos_as_xyz
'x,y,z'
loop_
_atom_site_label
_atom_site_type_symbol
_atom_site_fract_x
_atom_site_fract_y
_atom_site_fract_z
Y1 Y 0.000 0.000 0.000
Y2 Y 0.750 0.250 0.500
As1 As 0.250 0.750 0.500
As2 As 0.500 0.500 0.000
Pb1 Pb 0.160 0.125 0.535
Pb2 Pb 0.375 0.840 0.965
Pb3 Pb 0.590 0.625 0.465
Pb4 Pb 0.875 0.410 0.035

Entry 9:
# PmIrC (GGA-PBE, optimized geometry)
# ΔE_f = -0.44 eV/atom
# E above lowest polymorph = 0 meV per atom
# V = 109 Å³ per cell
# Spin magnetization = 0.00 μB per cell
data_PmIrC
_chemical_formula_sum 'Pm2 Ir2 C2'
_symmetry_space_group_name_H-M 'P 1'
_symmetry_Int_Tables_number 1
_cell_length_a 3.856
_cell_length_b 3.856
_cell_length_c 7.302
_cell_angle_alpha 90.00
_cell_angle_beta 90.00
_cell_angle_gamma 90.00
loop_
_symmetry_equiv_pos_as_xyz
'x,y,z'
loop_
_atom_site_label
_atom_site_type_symbol
_atom_site_fract_x
_atom_site_fract_y
_atom_site_fract_z
Pm1 Pm 0.000 0.000 0.250
Pm2 Pm 0.000 0.000 0.750
Ir1 Ir 0.500 0.500 0.000
Ir2 Ir 0.500 0.500 0.500
C1 C 0.000 0.500 0.000
C2 C 0.500 0.000 0.500

Entry 10:
# Re2PtCl (GGA-PBE, optimized geometry)
# E above lowest polymorph = 0 meV per atom
# V = 64 Å³ per cell
# Spin magnetization = 0.00 μB per cell
data_Re2PtCl
_chemical_formula_sum 'Re2 Pt1 Cl1'
_symmetry_space_group_name_H-M 'P 1'
_symmetry_Int_Tables_number 1
_cell_length_a 9.221
_cell_length_b 9.221
_cell_length_c 9.221
_cell_angle_alpha 17.81
_cell_angle_beta 17.81
_cell_angle_gamma 17.81
loop_
_symmetry_equiv_pos_as_xyz
'x,y,z'
loop_
_atom_site_label
_atom_site_type_symbol
_atom_site_fract_x
_atom_site_fract_y
_atom_site_fract_z
Re1 Re 0.000 0.000 0.000
Re2 Re 0.257 0.257 0.257
Pt1 Pt 0.506 0.506 0.506
Cl1 Cl 0.739 0.739 0.739

Entry 11:
# La2Cd2Hg (GGA-PBE, optimized geometry)
# ΔE_f = -0.17 eV/atom
# E above lowest polymorph = 184 meV per atom
# V = 154 Å³ per cell
# Spin magnetization = 0.00 μB per cell
data_La2Cd2Hg
_chemical_formula_sum 'La2 Cd2 Hg1'
_symmetry_space_group_name_H-M 'P 1'
_symmetry_Int_Tables_number 1
_cell_length_a 9.708
_cell_length_b 9.708
_cell_length_c 9.708
_cell_angle_alpha 155.76
_cell_angle_beta 155.76
_cell_angle_gamma 34.55
loop_
_symmetry_equiv_pos_as_xyz
'x,y,z'
loop_
_atom_site_label
_atom_site_type_symbol
_atom_site_fract_x
_atom_site_fract_y
_atom_site_fract_z
La1 La 0.098 0.098 0.000
La2 La 0.902 0.902 0.000
Cd1 Cd 0.250 0.750 0.500
Cd2 Cd 0.750 0.250 0.500
Hg1 Hg 0.500 0.500 0.000

Entry 12:
# Ba4InPt (GGA-PBE, optimized geometry)
# ΔE_f = -0.41 eV/atom
# E above lowest polymorph = 1 meV per atom
# V = 522 Å³ per cell
# Spin magnetization = 0.00 μB per cell
data_Ba4InPt
_chemical_formula_sum 'Ba8 In2 Pt2'
_symmetry_space_group_name_H-M 'P 1'
_symmetry_Int_Tables_number 1
_cell_length_a 9.240
_cell_length_b 9.240
_cell_length_c 7.451
_cell_angle_alpha 105.84
_cell_angle_beta 105.84
_cell_angle_gamma 110.69
loop_
_symmetry_equiv_pos_as_xyz
'x,y,z'
loop_
_atom_site_label
_atom_site_type_symbol
_atom_site_fract_x
_atom_site_fract_y
_atom_site_fract_z
Ba1 Ba 0.053 0.718 0.924
Ba2 Ba 0.219 0.354 0.695
Ba3 Ba 0.282 0.947 0.576
Ba4 Ba 0.354 0.219 0.195
Ba5 Ba 0.646 0.781 0.805
Ba6 Ba 0.718 0.053 0.424
Ba7 Ba 0.781 0.646 0.305
Ba8 Ba 0.947 0.282 0.076
In1 In 0.367 0.633 0.250
In2 In 0.633 0.367 0.750
Pt1 Pt 0.001 0.999 0.250
Pt2 Pt 0.999 0.001 0.750

Entry 13:
# VTcBr (GGA-PBE, optimized geometry)
# E above lowest polymorph = 257 meV per atom
# V = 102 Å³ per cell
# Spin magnetization = 0.00 μB per cell
data_VTcBr
_chemical_formula_sum 'V2 Tc2 Br2'
_symmetry_space_group_name_H-M 'P 1'
_symmetry_Int_Tables_number 1
_cell_length_a 12.325
_cell_length_b 3.097
_cell_length_c 3.097
_cell_angle_alpha 59.76
_cell_angle_beta 90.00
_cell_angle_gamma 90.00
loop_
_symmetry_equiv_pos_as_xyz
'x,y,z'
loop_
_atom_site_label
_atom_site_type_symbol
_atom_site_fract_x
_atom_site_fract_y
_atom_site_fract_z
V1 V 0.000 0.000 0.000
V2 V 0.500 0.086 0.086
Tc1 Tc 0.138 0.336 0.336
Tc2 Tc 0.862 0.336 0.336
Br1 Br 0.354 0.755 0.755
Br2 Br 0.646 0.755 0.755

Entry 14:
# Sc2MoW (GGA-PBE, optimized geometry)
# ΔE_f = 0.25 eV/atom
# E above lowest polymorph = 222 meV per atom
# V = 73 Å³ per cell
# Spin magnetization = 0.00 μB per cell
data_Sc2MoW
_chemical_formula_sum 'Sc2 Mo1 W1'
_symmetry_space_group_name_H-M 'P 1'
_symmetry_Int_Tables_number 1
_cell_length_a 2.845
_cell_length_b 2.845
_cell_length_c 9.420
_cell_angle_alpha 90.00
_cell_angle_beta 90.00
_cell_angle_gamma 107.72
loop_
_symmetry_equiv_pos_as_xyz
'x,y,z'
loop_
_atom_site_label
_atom_site_type_symbol
_atom_site_fract_x
_atom_site_fract_y
_atom_site_fract_z
Sc1 Sc 0.000 0.000 0.249
Sc2 Sc 0.000 0.000 0.751
Mo1 Mo 0.500 0.500 0.000
W1 W 0.500 0.500 0.500

Entry 15:
# As2Se (GGA-PBE, optimized geometry)
# E above lowest polymorph = 257 meV per atom
# V = 129 Å³ per cell
# Spin magnetization = 0.00 μB per cell
data_As2Se
_chemical_formula_sum 'As4 Se2'
_symmetry_space_group_name_H-M 'P 1'
_symmetry_Int_Tables_number 1
_cell_length_a 4.524
_cell_length_b 4.524
_cell_length_c 7.261
_cell_angle_alpha 90.00
_cell_angle_beta 90.00
_cell_angle_gamma 120.00
loop_
_symmetry_equiv_pos_as_xyz
'x,y,z'
loop_
_atom_site_label
_atom_site_type_symbol
_atom_site_fract_x
_atom_site_fract_y
_atom_site_fract_z
As1 As 0.333 0.667 0.068
As2 As 0.333 0.667 0.432
As3 As 0.667 0.333 0.568
As4 As 0.667 0.333 0.932
Se1 Se 0.000 0.000 0.250
Se2 Se 0.000 0.000 0.750

Entry 16:
# ZrBNO2 (GGA-PBE, optimized geometry)
# V = 76 Å³ per cell
# Spin magnetization = 2.00 μB per cell
# E = -33.3 eV for the cell shown
data_ZrBNO2
_chemical_formula_sum 'Zr1 B1 N1 O2'
_symmetry_space_group_name_H-M 'P 1'
_symmetry_Int_Tables_number 1
_cell_length_a 4.138
_cell_length_b 4.138
_cell_length_c 4.434
_cell_angle_alpha 90.00
_cell_angle_beta 90.00
_cell_angle_gamma 90.00
loop_
_symmetry_equiv_pos_as_xyz
'x,y,z'
loop_
_atom_site_label
_atom_site_type_symbol
_atom_site_fract_x
_atom_site_fract_y
_atom_site_fract_z
Zr1 Zr 0.000 0.000 0.000
B1 B 0.500 0.500 0.500
N1 N 0.000 0.000 0.500
O1 O 0.000 0.500 0.000
O2 O 0.500 0.000 0.000

Entry 17:
# BaMnAl2 (GGA-PBE, optimized geometry)
# ΔE_f = 0.22 eV/atom
# V = 92 Å³ per cell
# Spin magnetization = 3.39 μB per cell
data_BaMnAl2
_chemical_formula_sum 'Ba1 Mn1 Al2'
_symmetry_space_group_name_H-M 'P 1'
_symmetry_Int_Tables_number 1
_cell_length_a 3.407
_cell_length_b 3.407
_cell_length_c 7.936
_cell_angle_alpha 90.00
_cell_angle_beta 90.00
_cell_angle_gamma 90.00
loop_
_symmetry_equiv_pos_as_xyz
'x,y,z'
loop_
_atom_site_label
_atom_site_type_symbol
_atom_site_fract_x
_atom_site_fract_y
_atom_site_fract_z
Ba1 Ba 0.000 0.000 0.000
Mn1 Mn 0.500 0.500 0.331
Al1 Al 0.000 0.000 0.472
Al2 Al 0.500 0.500 0.669

Entry 18:
# Sm5In4Ir (GGA-PBE, optimized geometry)
# ΔE_f = -0.53 eV/atom
# V = 268 Å³ per cell
# Spin magnetization = 0.00 μB per cell
data_Sm5In4Ir
_chemical_formula_sum 'Sm5 In4 Ir1'
_symmetry_space_group_name_H-M 'P 1'
_symmetry_Int_Tables_number 1
_cell_length_a 3.582
_cell_length_b 3.582
_cell_length_c 20.870
_cell_angle_alpha 90.00
_cell_angle_beta 90.00
_cell_angle_gamma 90.00
loop_
_symmetry_equiv_pos_as_xyz
'x,y,z'
loop_
_atom_site_label
_atom_site_type_symbol
_atom_site_fract_x
_atom_site_fract_y
_atom_site_fract_z
Sm1 Sm 0.000 0.000 0.000
Sm2 Sm 0.000 0.000 0.209
Sm3 Sm 0.000 0.000 0.420
Sm4 Sm 0.000 0.000 0.580
Sm5 Sm 0.000 0.000 0.791
In1 In 0.500 0.500 0.104
In2 In 0.500 0.500 0.311
In3 In 0.500 0.500 0.689
In4 In 0.500 0.500 0.896
Ir1 Ir 0.500 0.500 0.500

Entry 19:
# La4CuAs (GGA-PBE, optimized geometry)
# ΔE_f = 0.33 eV/atom
# V = 178 Å³ per cell
# Spin magnetization = 0.00 μB per cell
data_La4CuAs
_chemical_formula_sum 'La4 Cu1 As1'
_symmetry_space_group_name_H-M 'P 1'
_symmetry_Int_Tables_number 1
_cell_length_a 6.317
_cell_length_b 6.317
_cell_length_c 6.317
_cell_angle_alpha 60.00
_cell_angle_beta 60.00
_cell_angle_gamma 60.00
loop_
_symmetry_equiv_pos_as_xyz
'x,y,z'
loop_
_atom_site_label
_atom_site_type_symbol
_atom_site_fract_x
_atom_site_fract_y
_atom_site_fract_z
La1 La 0.123 0.123 0.123
La2 La 0.123 0.123 0.630
La3 La 0.123 0.630 0.123
La4 La 0.630 0.123 0.123
Cu1 Cu 0.500 0.500 0.500
As1 As 0.750 0.750 0.750

Entry 20:
# PrNd4Ho3S8 (GGA-PBE, optimized geometry)
# V = 364 Å³ per cell
# Spin magnetization = 0.00 μB per cell
# E = -102.6 eV for the cell shown
data_PrNd4Ho3S8
_chemical_formula_sum 'Pr1 Nd4 Ho3 S8'
_symmetry_space_group_name_H-M 'P 1'
_symmetry_Int_Tables_number 1
_cell_length_a 8.054
_cell_length_b 8.054
_cell_length_c 8.054
_cell_angle_alpha 59.39
_cell_angle_beta 59.39
_cell_angle_gamma 59.39
loop_
_symmetry_equiv_pos_as_xyz
'x,y,z'
loop_
_atom_site_label
_atom_site_type_symbol
_atom_site_fract_x
_atom_site_fract_y
_atom_site_fract_z
Pr1 Pr 0.000 0.000 0.000
Nd1 Nd 0.000 0.000 0.500
Nd2 Nd 0.000 0.500 0.000
Nd3 Nd 0.500 0.000 0.000
Nd4 Nd 0.500 0.500 0.500
Ho1 Ho 0.000 0.500 0.500
Ho2 Ho 0.500 0.000 0.500
Ho3 Ho 0.500 0.500 0.000
S1 S 0.251 0.251 0.736
S2 S 0.251 0.736 0.251
S3 S 0.256 0.256 0.256
S4 S 0.264 0.749 0.749
S5 S 0.736 0.251 0.251
S6 S 0.744 0.744 0.744
S7 S 0.749 0.264 0.749
S8 S 0.749 0.749 0.264

no.,N(E_F) (states/eV per cell)
1,4.5
2,14.8
3,17.5
4,11.5
5,5.1
6,14.3
7,4.0
8,5.6
9,1.7
10,4.8
11,6.7
12,11.5
13,5.9
14,5.6
15,3.3
16,1.0
17,3.2
18,5.9
19,8.5
20,7.7